Record 1
Entry from OQMD via LeMat-Bulk: an optimized crystal structure of Nb2Ge2O5 (PBE).

Cell and atoms, written as CIF:
```
data_Nb2Ge2O5
_space_group_name_H-M_alt 'P 1'
_space_group_IT_number 1
_cell_length_a 4.002
_cell_length_b 4.002
_cell_length_c 7.397
_cell_angle_alpha 90.00
_cell_angle_beta 90.00
_cell_angle_gamma 90.00
loop_
_space_group_symop_operation_xyz
'x,y,z'
loop_
_atom_site_label
_atom_site_type_symbol
_atom_site_fract_x
_atom_site_fract_y
_atom_site_fract_z
Nb1 Nb 0.000 0.000 0.222
Nb2 Nb 0.000 0.000 0.778
Ge1 Ge 0.500 0.500 0.000
Ge2 Ge 0.500 0.500 0.500
O1 O 0.000 0.000 0.500
O2 O 0.000 0.500 0.241
O3 O 0.000 0.500 0.759
O4 O 0.500 0.000 0.241
O5 O 0.500 0.000 0.759
```

Values from the calculation:
Its distance to the lowest polymorph of the same formula is 0 meV/atom. Its space group is P4/mmm (123). The raw total energy comes out at -0.542 Ry/atom.

---

Record 2
Entry from OQMD via LeMat-Bulk: an optimized crystal structure of NbGeOs2 (PBE).

Cell and atoms, written as CIF:
```
data_NbGeOs2
_space_group_name_H-M_alt 'P 1'
_space_group_IT_number 1
_cell_length_a 4.445
_cell_length_b 4.445
_cell_length_c 4.445
_cell_angle_alpha 60.00
_cell_angle_beta 60.00
_cell_angle_gamma 60.00
loop_
_space_group_symop_operation_xyz
'x,y,z'
loop_
_atom_site_label
_atom_site_type_symbol
_atom_site_fract_x
_atom_site_fract_y
_atom_site_fract_z
Nb1 Nb 0.000 0.000 0.000
Ge1 Ge 0.750 0.750 0.750
Os1 Os 0.250 0.250 0.250
Os2 Os 0.500 0.500 0.500
```

Values from the calculation:
Its space group is F-43m (216). The raw total energy comes out at -0.661 Ry/atom.

---

Record 3
Entry from OQMD via LeMat-Bulk: an optimized crystal structure of ZrNbGe2P2 (PBE).

Cell and atoms, written as CIF:
```
data_ZrNbGe2P2
_space_group_name_H-M_alt 'P 1'
_space_group_IT_number 1
_cell_length_a 3.563
_cell_length_b 3.563
_cell_length_c 8.064
_cell_angle_alpha 90.00
_cell_angle_beta 90.00
_cell_angle_gamma 90.00
loop_
_space_group_symop_operation_xyz
'x,y,z'
loop_
_atom_site_label
_atom_site_type_symbol
_atom_site_fract_x
_atom_site_fract_y
_atom_site_fract_z
Zr1 Zr 0.000 0.000 0.000
Nb1 Nb 0.500 0.500 0.550
Ge1 Ge 0.000 0.500 0.284
Ge2 Ge 0.500 0.000 0.284
P1 P 0.000 0.000 0.665
P2 P 0.500 0.500 0.878
```

Values from the calculation:
Its space group is P4mm (99). The raw total energy comes out at -0.520 Ry/atom.

---

Record 4
Entry from OQMD via LeMat-Bulk: an optimized crystal structure of PaNbGe (PBE).

Cell and atoms, written as CIF:
```
data_PaNbGe
_space_group_name_H-M_alt 'P 1'
_space_group_IT_number 1
_cell_length_a 4.669
_cell_length_b 4.669
_cell_length_c 4.669
_cell_angle_alpha 60.00
_cell_angle_beta 60.00
_cell_angle_gamma 60.00
loop_
_space_group_symop_operation_xyz
'x,y,z'
loop_
_atom_site_label
_atom_site_type_symbol
_atom_site_fract_x
_atom_site_fract_y
_atom_site_fract_z
Pa1 Pa 0.000 0.000 0.000
Nb1 Nb 0.250 0.250 0.250
Ge1 Ge 0.750 0.750 0.750
```

Values from the calculation:
Its distance to the lowest polymorph of the same formula is 651 meV/atom. Its space group is F-43m (216). The raw total energy comes out at -0.529 Ry/atom.

---

Record 5
Entry from OQMD via LeMat-Bulk: an optimized crystal structure of PaNbGe (PBE).

Cell and atoms, written as CIF:
```
data_PaNbGe
_space_group_name_H-M_alt 'P 1'
_space_group_IT_number 1
_cell_length_a 4.569
_cell_length_b 4.569
_cell_length_c 4.569
_cell_angle_alpha 60.00
_cell_angle_beta 60.00
_cell_angle_gamma 60.00
loop_
_space_group_symop_operation_xyz
'x,y,z'
loop_
_atom_site_label
_atom_site_type_symbol
_atom_site_fract_x
_atom_site_fract_y
_atom_site_fract_z
Pa1 Pa 0.000 0.000 0.000
Nb1 Nb 0.750 0.750 0.750
Ge1 Ge 0.500 0.500 0.500
```

Values from the calculation:
Its distance to the lowest polymorph of the same formula is 0 meV/atom. Its space group is F-43m (216). The raw total energy comes out at -0.577 Ry/atom.

---

Record 6
Entry from OQMD via LeMat-Bulk: an optimized crystal structure of NbGePb (PBE).

Cell and atoms, written as CIF:
```
data_NbGePb
_space_group_name_H-M_alt 'P 1'
_space_group_IT_number 1
_cell_length_a 4.697
_cell_length_b 4.697
_cell_length_c 4.697
_cell_angle_alpha 60.00
_cell_angle_beta 60.00
_cell_angle_gamma 60.00
loop_
_space_group_symop_operation_xyz
'x,y,z'
loop_
_atom_site_label
_atom_site_type_symbol
_atom_site_fract_x
_atom_site_fract_y
_atom_site_fract_z
Nb1 Nb 0.000 0.000 0.000
Ge1 Ge 0.250 0.250 0.250
Pb1 Pb 0.750 0.750 0.750
```

Values from the calculation:
Its distance to the lowest polymorph of the same formula is 0 meV/atom. Its space group is F-43m (216). The raw total energy comes out at -0.405 Ry/atom.

---

Record 7
Entry from OQMD via LeMat-Bulk: an optimized crystal structure of NbGePb (PBE).

Cell and atoms, written as CIF:
```
data_NbGePb
_space_group_name_H-M_alt 'P 1'
_space_group_IT_number 1
_cell_length_a 4.815
_cell_length_b 4.815
_cell_length_c 4.815
_cell_angle_alpha 60.00
_cell_angle_beta 60.00
_cell_angle_gamma 60.00
loop_
_space_group_symop_operation_xyz
'x,y,z'
loop_
_atom_site_label
_atom_site_type_symbol
_atom_site_fract_x
_atom_site_fract_y
_atom_site_fract_z
Nb1 Nb 0.000 0.000 0.000
Ge1 Ge 0.500 0.500 0.500
Pb1 Pb 0.750 0.750 0.750
```

Values from the calculation:
Its distance to the lowest polymorph of the same formula is 454 meV/atom. Its space group is F-43m (216). The raw total energy comes out at -0.371 Ry/atom.

---

Record 8
Entry from OQMD via LeMat-Bulk: an optimized crystal structure of Nb2GePbS4 (PBE).

Cell and atoms, written as CIF:
```
data_Nb2GePbS4
_space_group_name_H-M_alt 'P 1'
_space_group_IT_number 1
_cell_length_a 3.347
_cell_length_b 3.347
_cell_length_c 17.422
_cell_angle_alpha 90.00
_cell_angle_beta 90.00
_cell_angle_gamma 120.00
loop_
_space_group_symop_operation_xyz
'x,y,z'
loop_
_atom_site_label
_atom_site_type_symbol
_atom_site_fract_x
_atom_site_fract_y
_atom_site_fract_z
Nb1 Nb 0.333 0.667 0.242
Nb2 Nb 0.667 0.333 0.758
Ge1 Ge 0.000 0.000 0.000
Pb1 Pb 0.000 0.000 0.500
S1 S 0.000 0.000 0.153
S2 S 0.000 0.000 0.332
S3 S 0.000 0.000 0.668
S4 S 0.000 0.000 0.847
```

Values from the calculation:
Its space group is P-3m1 (164). The raw total energy comes out at -0.472 Ry/atom.

---

Record 9
Entry from OQMD via LeMat-Bulk: an optimized crystal structure of NbGePd2 (PBE).

Cell and atoms, written as CIF:
```
data_NbGePd2
_space_group_name_H-M_alt 'P 1'
_space_group_IT_number 1
_cell_length_a 4.478
_cell_length_b 4.478
_cell_length_c 4.478
_cell_angle_alpha 60.00
_cell_angle_beta 60.00
_cell_angle_gamma 60.00
loop_
_space_group_symop_operation_xyz
'x,y,z'
loop_
_atom_site_label
_atom_site_type_symbol
_atom_site_fract_x
_atom_site_fract_y
_atom_site_fract_z
Nb1 Nb 0.000 0.000 0.000
Ge1 Ge 0.750 0.750 0.750
Pd1 Pd 0.250 0.250 0.250
Pd2 Pd 0.500 0.500 0.500
```

Values from the calculation:
Its space group is F-43m (216). The raw total energy comes out at -0.485 Ry/atom.

---

Record 10
Entry from OQMD via LeMat-Bulk: an optimized crystal structure of Nb2Ge3Pd2 (PBE).

Cell and atoms, written as CIF:
```
data_Nb2Ge3Pd2
_space_group_name_H-M_alt 'P 1'
_space_group_IT_number 1
_cell_length_a 8.328
_cell_length_b 8.328
_cell_length_c 8.328
_cell_angle_alpha 29.36
_cell_angle_beta 29.36
_cell_angle_gamma 29.36
loop_
_space_group_symop_operation_xyz
'x,y,z'
loop_
_atom_site_label
_atom_site_type_symbol
_atom_site_fract_x
_atom_site_fract_y
_atom_site_fract_z
Nb1 Nb 0.000 0.000 0.000
Nb2 Nb 0.496 0.496 0.496
Ge1 Ge 0.389 0.389 0.389
Ge2 Ge 0.618 0.618 0.618
Ge3 Ge 0.859 0.859 0.859
Pd1 Pd 0.248 0.248 0.248
Pd2 Pd 0.747 0.747 0.747
```

Values from the calculation:
Its space group is R3m (160). The raw total energy comes out at -0.477 Ry/atom.

---

Record 11
Entry from OQMD via LeMat-Bulk: an optimized crystal structure of Nb2GePt (PBE).

Cell and atoms, written as CIF:
```
data_Nb2GePt
_space_group_name_H-M_alt 'P 1'
_space_group_IT_number 1
_cell_length_a 4.565
_cell_length_b 4.565
_cell_length_c 4.565
_cell_angle_alpha 60.00
_cell_angle_beta 60.00
_cell_angle_gamma 60.00
loop_
_space_group_symop_operation_xyz
'x,y,z'
loop_
_atom_site_label
_atom_site_type_symbol
_atom_site_fract_x
_atom_site_fract_y
_atom_site_fract_z
Nb1 Nb 0.000 0.000 0.000
Nb2 Nb 0.250 0.250 0.250
Ge1 Ge 0.500 0.500 0.500
Pt1 Pt 0.750 0.750 0.750
```

Values from the calculation:
Its space group is F-43m (216). The raw total energy comes out at -0.571 Ry/atom.

---

Record 12
Entry from OQMD via LeMat-Bulk: an optimized crystal structure of NbGePt2 (PBE).

Cell and atoms, written as CIF:
```
data_NbGePt2
_space_group_name_H-M_alt 'P 1'
_space_group_IT_number 1
_cell_length_a 4.510
_cell_length_b 4.510
_cell_length_c 4.510
_cell_angle_alpha 60.00
_cell_angle_beta 60.00
_cell_angle_gamma 60.00
loop_
_space_group_symop_operation_xyz
'x,y,z'
loop_
_atom_site_label
_atom_site_type_symbol
_atom_site_fract_x
_atom_site_fract_y
_atom_site_fract_z
Nb1 Nb 0.000 0.000 0.000
Ge1 Ge 0.750 0.750 0.750
Pt1 Pt 0.250 0.250 0.250
Pt2 Pt 0.500 0.500 0.500
```

Values from the calculation:
Its space group is F-43m (216). The raw total energy comes out at -0.519 Ry/atom.

---

Question: Which formula does entry 6 have?
Answer: NbGePb

---

Question: The highest raw total energy belongs to which entry?
Answer: number 7

---

Question: Number 2 is which compound?
Answer: NbGeOs2